CsHoPdF6, optimized geometry, DFT GGA-PBE; formation energy (no corrections) = -2.823 eV per atom; M_tot = 2.0 μB/f.u.
1.0
8.2437 0.0000 0.0000
0.0000 7.8661 0.0000
-4.1219 -3.9331 5.7030
F Cs Pd Ho
12 2 2 2
Cartesian
2.4862 4.3084 1.4552
5.7575 -0.3754 1.4552
5.7575 4.3084 1.4552
0.0000 5.8996 2.1102
4.1219 1.9665 0.9333
1.6357 4.3084 4.2478
1.6357 -0.3754 4.2478
-1.6357 -0.3754 4.2478
-1.6357 4.3084 4.2478
0.0000 1.9665 4.7697
2.4862 -0.3754 1.4552
4.1219 -1.9665 3.5928
4.1219 1.9665 3.9233
0.0000 1.9665 1.7797
4.1219 3.9331 0.0000
4.1219 0.0000 0.0000
-2.0609 -1.9665 2.8515
2.0609 -1.9665 2.8515

***

CsHoPd2F8, optimized geometry, DFT GGA-PBE; formation energy (no corrections) = -2.167 eV per atom; DOS at the Fermi energy = 13.1 states/eV per cell; M_tot = 4.0 μB/f.u.
1.0
-5.1444 2.8260 -0.9945
2.1936 -3.7193 -4.0982
-4.1965 -6.3892 3.5521
F Cs Ho Pd
8 1 1 2
Cartesian
-2.1690 -5.2624 1.1175
-4.8163 -4.8703 -1.3046
-2.8291 0.4453 -1.9184
-5.1015 -0.2056 0.4598
-2.0458 -7.0768 -2.0004
-4.3182 -7.7277 0.3779
-4.9783 -2.0200 -2.6581
-2.3310 -2.4121 -0.2360
0.0000 0.0000 0.0000
-2.0983 -3.1946 1.7761
-3.3185 -6.2056 -0.4683
-3.8288 -1.0768 -1.0722